Material: K2BaRe
Method: DFT, GGA-PBE
State: optimized geometry

As for the size of the total moment: 11.33 μB per cell. As for the energy of formation: 1.3620 eV per atom. For the uncorrected energy, the calculation gives -44.47 eV/cell.

The space group is I-42d (No. 122) and the conventional cell measures 4.918, 4.918 and 27.374 Å, with angles of 90.00, 90.00 and 90.00 degrees. The asymmetric unit holds K at (0.223, 0.250, 0.125), Ba at (0.000, 0.000, 0.500) and Re at (0.000, 0.000, 0.000).